Record 1
## Ho6Al2NO (GGA-PBE)

Data for an optimized crystal structure of Ho6Al2NO.

Properties
E_tot = -5.986 eV per atom
SG = Fm-3m, No. 225

Lattice parameters (Å, degrees): 6.6745 6.6745 6.6745 60.00 60.00 60.00
Fractional positions:
Ho1 0.7522 0.2478 0.2478
Ho2 0.2478 0.7522 0.7522
Ho3 0.7522 0.2478 0.7522
Ho4 0.2478 0.7522 0.2478
Ho5 0.7522 0.7522 0.2478
Ho6 0.2478 0.2478 0.7522
O1 0.5000 0.5000 0.5000
Al1 0.7500 0.7500 0.7500
Al2 0.2500 0.2500 0.2500
N1 0.0000 0.0000 0.0000

Record 2
## HoPa2AlN5 (GGA-PBE)

Data for an optimized crystal structure of HoPa2AlN5.

Properties
E_tot = -9.098 eV per atom
SG = Cmc2_1, No. 36

Lattice parameters (Å, degrees): 3.4244 7.0174 10.7187 90.00 90.00 104.12
Fractional positions:
N1 0.5195 0.0391 0.3081
N2 0.7090 0.4180 0.8294
N3 0.2933 0.5866 0.6459
N4 0.3706 0.7412 0.0594
N5 0.9538 0.9076 0.5524
N6 0.4805 0.9609 0.8081
N7 0.6294 0.2588 0.5594
N8 0.0462 0.0924 0.0524
N9 0.7067 0.4134 0.1459
N10 0.2910 0.5820 0.3294
Pa1 0.1257 0.2514 0.2554
Pa2 0.1351 0.2702 0.6985
Pa3 0.8743 0.7486 0.7554
Pa4 0.8649 0.7298 0.1985
Ho1 0.7863 0.5725 0.4856
Ho2 0.2137 0.4275 0.9856
Al1 0.5010 0.0021 0.4893
Al2 0.4990 0.9979 0.9893

Record 3
## Pm2HoAlN (GGA-PBE)

Data for an optimized crystal structure of Pm2HoAlN.

Properties
E_tot = -6.063 eV per atom
SG = P4/mmm, No. 123

Lattice parameters (Å, degrees): 4.7431 4.9572 4.9572 90.00 90.00 90.00
Fractional positions:
Ho1 0.5000 0.0000 0.0000
Al1 0.5000 0.5000 0.5000
N1 0.0000 0.0000 0.0000
Pm1 0.0000 0.5000 0.0000
Pm2 0.0000 0.0000 0.5000

Record 4
## Ho2ScAlN (GGA-PBE)

Data for an optimized crystal structure of Ho2ScAlN.

Properties
E_tot = -6.480 eV per atom
SG = P4/mmm, No. 123

Lattice parameters (Å, degrees): 4.4482 4.7438 4.7438 90.00 90.00 90.00
Fractional positions:
Ho1 0.0000 0.5000 0.0000
Ho2 0.0000 0.0000 0.5000
Al1 0.5000 0.5000 0.5000
N1 0.0000 0.0000 0.0000
Sc1 0.5000 0.0000 0.0000

Record 5
## HoSc2AlN (GGA-PBE)

Data for an optimized crystal structure of HoSc2AlN.

Properties
E_tot = -6.875 eV per atom
SG = P4/mmm, No. 123

Lattice parameters (Å, degrees): 4.7049 4.4542 4.4542 90.00 90.00 90.00
Fractional positions:
Ho1 0.5000 0.0000 0.0000
Sc1 0.0000 0.5000 0.0000
Sc2 0.0000 0.0000 0.5000
Al1 0.5000 0.5000 0.5000
N1 0.0000 0.0000 0.0000

Record 6
## Sm2HoAlN (GGA-PBE)

Data for an optimized crystal structure of Sm2HoAlN.

Properties
E_tot = -6.066 eV per atom
SG = P4/mmm, No. 123

Lattice parameters (Å, degrees): 4.7446 4.9215 4.9215 90.00 90.00 90.00
Fractional positions:
N1 0.0000 0.0000 0.0000
Al1 0.5000 0.5000 0.5000
Ho1 0.5000 0.0000 0.0000
Sm1 0.0000 0.0000 0.5000
Sm2 0.0000 0.5000 0.0000

Record 7
## SmHo2AlN (GGA-PBE)

Data for an optimized crystal structure of SmHo2AlN.

Properties
E_tot = -6.076 eV per atom
SG = P4/mmm, No. 123

Lattice parameters (Å, degrees): 4.9096 4.7530 4.7530 90.00 90.00 90.00
Fractional positions:
Ho1 0.0000 0.5000 0.0000
Ho2 0.0000 0.0000 0.5000
Al1 0.5000 0.5000 0.5000
N1 0.0000 0.0000 0.0000
Sm1 0.5000 0.0000 0.0000

Record 8
## TbHo2AlN (GGA-PBE)

Data for an optimized crystal structure of TbHo2AlN.

Properties
E_tot = -6.093 eV per atom
SG = P4/mmm, No. 123

Lattice parameters (Å, degrees): 4.8031 4.7472 4.7472 90.00 90.00 90.00
Fractional positions:
Ho1 0.0000 0.0000 0.5000
Ho2 0.0000 0.5000 0.0000
N1 0.0000 0.0000 0.0000
Tb1 0.5000 0.0000 0.0000
Al1 0.5000 0.5000 0.5000